No. 1
Li8VO6 | GGA+U | relaxed

## Properties
* excess energy over the best structure of this formula in the dataset: 12.5 meV/atom
* energy: -5.411 eV per atom
* crystal system: hexagonal

Cell lengths 5.5947, 5.5947, 10.8910 Å; angles 90.00, 90.00, 120.00 degrees
Space group P6_3cm (No. 185)
Asymmetric unit:
Li  0.0000  0.3133  0.0000 x6
Li  0.0000  0.3954  0.3607 x6
Li  0.3333  0.6667  0.1391 x4
V  0.0000  0.0000  0.2284 x2
O  0.0000  0.0000  0.4001 x2
O  0.0000  0.3117  0.1823 x6
O  0.3333  0.6667  0.4490 x4


No. 2
LiV4O10 | GGA+U | relaxed

## Properties
* excess energy over the best structure of this formula in the dataset: 24.8 meV/atom
* energy: -7.268 eV per atom
* crystal system: triclinic

Cell lengths 6.3380, 6.5859, 6.6366 Å; angles 76.77, 79.05, 85.24 degrees
Space group P-1 (No. 2)
Asymmetric unit:
Li  0.0000  0.0000  0.0000 x1
V  0.4161  0.6906  0.8437 x2
V  0.4306  0.2094  0.7120 x2
O  0.1591  0.7386  0.9105 x2
O  0.1696  0.1886  0.7429 x2
O  0.4594  0.7009  0.5545 x2
O  0.4612  0.0452  0.2069 x2
O  0.4785  0.3829  0.8842 x2


No. 3
Li4VO4 | GGA+U | relaxed

## Properties
* energy: -5.775 eV per atom
* crystal system: tetragonal

Cell lengths 4.9965, 4.9965, 8.2711 Å; angles 90.00, 90.00, 90.00 degrees
Space group I-42m (No. 121)
Asymmetric unit:
Li  0.0000  0.0000  0.1840 x4
Li  0.0000  0.5000  0.0000 x4
V  0.0000  0.0000  0.5000 x2
O  0.2248  0.2248  0.6070 x8


No. 4
Li3V2O6 | GGA+U | relaxed

## Properties
* energy: -6.611 eV per atom
* crystal system: triclinic

Cell lengths 4.9872, 5.0909, 5.2127 Å; angles 100.40, 103.15, 117.62 degrees
Space group P1 (No. 1)
Asymmetric unit:
Li  0.0000  0.0000  0.0000 x1
Li  0.3248  0.6197  0.0334 x1
Li  0.6737  0.3800  0.9714 x1
V  0.1680  0.8280  0.5262 x1
V  0.8184  0.1686  0.4686 x1
O  0.0473  0.4301  0.2712 x1
O  0.1988  0.1949  0.7348 x1
O  0.4087  0.0371  0.2699 x1
O  0.5777  0.9586  0.7233 x1
O  0.8016  0.7957  0.2534 x1
O  0.9633  0.5922  0.7247 x1


No. 5
LiV2O4 | GGA+U | relaxed

## Properties
* excess energy over the best structure of this formula in the dataset: 87.0 meV/atom
* energy: -7.240 eV per atom
* crystal system: triclinic

Cell lengths 3.0346, 5.0130, 5.7446 Å; angles 65.73, 75.21, 89.97 degrees
Space group P-1 (No. 2)
Asymmetric unit:
Li  0.0000  0.0000  0.0000 x1
V  0.2735  0.2728  0.4520 x2
O  0.1456  0.8405  0.7152 x2
O  0.3456  0.6892  0.3018 x2


No. 6
LiVO3 | GGA+U | relaxed

## Properties
* energy: -6.819 eV per atom
* crystal system: monoclinic

Cell lengths 11.2873, 3.1273, 7.6449 Å; angles 90.00, 99.57, 90.00 degrees
Space group C2/m (No. 12)
Asymmetric unit:
Li  0.1415  0.0000  0.4146 x4
V  0.1097  0.5000  0.7975 x4
O  0.0362  0.5000  0.2938 x4
O  0.1391  0.0000  0.9185 x4
O  0.1882  0.5000  0.6265 x4


No. 7
LiV6O15 | GGA+U | relaxed

## Properties
* excess energy over the best structure of this formula in the dataset: 0.0 meV/atom
* energy: -7.341 eV per atom
* crystal system: monoclinic

Cell lengths 15.8917, 3.6670, 10.3041 Å; angles 90.00, 109.76, 90.00 degrees
Space group Cm (No. 8)
Asymmetric unit:
Li  0.0000  0.0000  0.0000 x2
V  0.0577  0.5000  0.7903 x2
V  0.0957  0.0000  0.5676 x2
V  0.1623  0.0000  0.2764 x2
V  0.2309  0.5000  0.0886 x2
V  0.2722  0.5000  0.7788 x2
V  0.3234  0.0000  0.5674 x2
O  0.9999  0.0000  0.4489 x2
O  0.0446  0.5000  0.9466 x2
O  0.0543  0.0000  0.2016 x2
O  0.0693  0.0000  0.7377 x2
O  0.1218  0.5000  0.6191 x2
O  0.1731  0.0000  0.4568 x2
O  0.1910  0.5000  0.2543 x2
O  0.1999  0.0000  0.1040 x2
O  0.2016  0.5000  0.8967 x2
O  0.2539  0.0000  0.7327 x2
O  0.2995  0.5000  0.6058 x2
O  0.3214  0.0000  0.4070 x2
O  0.3375  0.5000  0.1436 x2
O  0.3723  0.5000  0.8931 x2
O  0.4347  0.0000  0.6689 x2


No. 8
Li2VO4 | GGA+U | relaxed

## Properties
* excess energy over the best structure of this formula in the dataset: 30.3 meV/atom
* energy: -6.146 eV per atom
* crystal system: monoclinic

Cell lengths 5.5721, 5.6532, 5.9212 Å; angles 90.00, 92.61, 90.00 degrees
Space group P2_1/m (No. 11)
Asymmetric unit:
Li  0.0948  0.2500  0.3814 x2
Li  0.3670  0.7500  0.8255 x2
V  0.1260  0.2500  0.8457 x2
O  0.1799  0.0095  0.6758 x4
O  0.1845  0.7500  0.1091 x2
O  0.2906  0.2500  0.1064 x2


Listing volume for the structures above in their given order: 9.84 17.63 11.47 9.79 10.93 13.30 12.84 13.31 A^3/atom.